Model A:
MnGe2I: optimized geometry, GGA-PBE.

Cell: 5.0166 5.0166 5.0166 Å, 60.00 60.00 60.00°
Last column: nearest neighbours and their distance in Å.
Positions (direct):
1 I 0.5000 0.5000 0.5000  8 Ge 3.07
2 Ge 0.2500 0.2500 0.2500  4 I 3.07, 4 Mn 3.07
3 Ge 0.7500 0.7500 0.7500  4 I 3.07, 4 Mn 3.07
4 Mn 0.0000 0.0000 0.0000  8 Ge 3.07

ρ (g cm⁻³): 6.08
DOS(E_F) (states/eV/f.u.): 3.64



Model B:
MnGe2I: optimized geometry, GGA-PBE.

Cell: 5.5062 5.5062 8.4472 Å, 70.98 70.98 90.00°
Last column: nearest neighbours and their distance in Å.
Positions (direct):
1 I 0.0000 0.0000 0.0000  4 Ge 3.22
2 I 0.7500 0.2500 0.5000  4 Ge 3.22
3 Ge 0.4703 0.1250 0.2500  2 Mn 2.38
4 Ge 0.2797 0.6250 0.2500  2 Mn 2.38
5 Ge 0.3750 0.5297 0.7500  2 Mn 2.38
6 Ge 0.8750 0.7203 0.7500  2 Mn 2.38
7 Mn 0.5000 0.5000 0.0000  4 Ge 2.38
8 Mn 0.2500 0.7500 0.5000  4 Ge 2.38

ρ (g cm⁻³): 4.78
DOS(E_F) (states/eV/f.u.): 2.79



Which of them is least stable? Easy: model A.



Model A:
MnGe2I8: optimized geometry, GGA-PBE.

Cell: 7.0254 9.0974 9.0974 Å, 80.66 82.13 82.13°
Last column: nearest neighbours and their distance in Å.
Positions (direct):
1 Mn 0.0000 0.0000 0.0000  6 I 2.88-2.99
2 Ge 0.6942 0.7964 0.7964  4 I 2.72-2.76
3 Ge 0.3058 0.2036 0.2036  4 I 2.72-2.76
4 I 0.2018 0.2624 0.9198  1 Ge 2.73, 1 Mn 2.88
5 I 0.7982 0.0802 0.7376  1 Ge 2.73, 1 Mn 2.88
6 I 0.3014 0.8184 0.8184  1 Ge 2.72, 1 Mn 2.99
7 I 0.6986 0.1816 0.1816  1 Ge 2.72, 1 Mn 2.99
8 I 0.2018 0.9198 0.2624  1 Ge 2.73, 1 Mn 2.88
9 I 0.7982 0.7376 0.0802  1 Ge 2.73, 1 Mn 2.88
10 I 0.8831 0.6038 0.6038  1 Ge 2.76, 1 I 3.05
11 I 0.1169 0.3962 0.3962  1 Ge 2.76, 1 I 3.05

ρ (g cm⁻³): 3.58
DOS(E_F) (states/eV/f.u.): 0.33



Model B:
MnGe2I8: optimized geometry, GGA-PBE.

Cell: 7.4239 8.8407 8.8407 Å, 76.92 85.47 85.47°
Last column: nearest neighbours and their distance in Å.
Positions (direct):
1 Mn 0.0000 0.0000 0.0000  6 I 2.92-2.94, 2 Ge 3.25
2 Ge 0.1696 0.7739 0.7739  4 I 2.71-2.82
3 Ge 0.8304 0.2261 0.2261  4 I 2.71-2.82
4 I 0.7603 0.9216 0.2840  1 Ge 2.71, 1 Mn 2.94
5 I 0.2397 0.7160 0.0784  1 Ge 2.71, 1 Mn 2.94
6 I 0.8048 0.8271 0.8271  1 Ge 2.73, 1 Mn 2.92
7 I 0.1952 0.1729 0.1729  1 Ge 2.73, 1 Mn 2.92
8 I 0.7603 0.2840 0.9216  1 Ge 2.71, 1 Mn 2.94
9 I 0.2397 0.0784 0.7160  1 Ge 2.71, 1 Mn 2.94
10 I 0.3724 0.5904 0.5904  1 Ge 2.82, 1 I 2.98
11 I 0.6276 0.4096 0.4096  1 Ge 2.82, 1 I 2.98

ρ (g cm⁻³): 3.59



Which of them is least stable? Easy: model B.



Model A:
MnGe2I6: optimized geometry, GGA-PBE.

Cell: 7.4558 7.3834 7.3834 Å, 120.00 90.00 90.00°
Last column: nearest neighbours and their distance in Å.
Positions (direct):
1 Mn 0.5000 0.0000 0.0000  6 I 2.92
2 Ge 0.5000 0.3333 0.6667  6 I 3.03
3 Ge 0.5000 0.6667 0.3333  6 I 3.03
4 I 0.2726 0.6785 0.0000  1 Mn 2.92, 2 Ge 3.03
5 I 0.2726 0.3215 0.3215  1 Mn 2.92, 2 Ge 3.03
6 I 0.2726 0.0000 0.6785  1 Mn 2.92, 2 Ge 3.03
7 I 0.7274 0.3215 0.0000  1 Mn 2.92, 2 Ge 3.03
8 I 0.7274 0.6785 0.6785  1 Mn 2.92, 2 Ge 3.03
9 I 0.7274 0.0000 0.3215  1 Mn 2.92, 2 Ge 3.03

ρ (g cm⁻³): 4.54
DOS(E_F) (states/eV/f.u.): 0.00



Model B:
MnGe2I6: optimized geometry, GGA-PBE.

Cell: 7.6128 7.6128 8.5766 Å, 63.65 63.65 60.00°
Last column: nearest neighbours and their distance in Å.
Positions (direct):
1 Mn 0.3348 0.3348 0.9955  6 I 2.83-3.00
2 Ge 0.6980 0.6980 0.9059  1 Ge 2.69, 3 I 2.69
3 Ge 0.5763 0.5763 0.2712  1 Ge 2.69, 3 I 2.88
4 I 0.6995 0.4696 0.7389  1 Ge 2.69, 1 Mn 3.00
5 I 0.0920 0.6995 0.7389  1 Ge 2.69, 1 Mn 3.00
6 I 0.4696 0.0920 0.7389  1 Ge 2.69, 1 Mn 3.00
7 I 0.2283 0.5930 0.2046  1 Mn 2.83, 1 Ge 2.88
8 I 0.9741 0.2283 0.2046  1 Mn 2.83, 1 Ge 2.88
9 I 0.5930 0.9741 0.2046  1 Mn 2.83, 1 Ge 2.88

ρ (g cm⁻³): 4.32



Which of them is least stable? Easy: model B.



Model A:
MnGeI2N: optimized geometry, GGA-PBE.

Cell: 5.5366 5.5366 3.5929 Å, 90.00 90.00 90.00°
Last column: nearest neighbours and their distance in Å.
Positions (direct):
1 I 0.0000 0.5000 0.0000  2 Mn 2.77
2 I 0.5000 0.0000 0.0000  2 Mn 2.77
3 Ge 0.5000 0.5000 0.5000  8 I 3.30, 2 Ge 3.59
4 Mn 0.0000 0.0000 0.0000  2 N 1.80
5 N 0.0000 0.0000 0.5000  2 Mn 1.80

ρ (g cm⁻³): 5.96
DOS(E_F) (states/eV/f.u.): 4.25



Model B:
MnGeI2N: optimized geometry, GGA-PBE.

Cell: 6.0741 6.0741 3.5927 Å, 90.00 90.00 90.00°
Last column: nearest neighbours and their distance in Å.
Positions (direct):
1 I 0.0000 0.5000 0.0000  2 Ge 3.04
2 I 0.5000 0.0000 0.0000  2 Ge 3.04
3 Ge 0.0000 0.0000 0.0000  2 N 1.80
4 Mn 0.5000 0.5000 0.5000  8 I 3.53, 2 Mn 3.59
5 N 0.0000 0.0000 0.5000  2 Ge 1.80

ρ (g cm⁻³): 4.95
DOS(E_F) (states/eV/f.u.): 2.36



Which of them is least stable? Easy: model B.